1.
Here is Rb2YAsC after structural relaxation from Alexandria via LeMat-Bulk. Energies are from PBE-GGA.

E_form: 0.65 eV per atom
Symmetry: P4/mmm, No. 123
Density of states at the Fermi level: 3.12 states/eV per cell

Cell: 6.1556 6.1556 4.3418 Å, 90.00 90.00 90.00°
Closest atoms and distances in Å follow each position.
Element x y z (fractional)
Rb: 0.0000 0.5000 0.0000  2 C 3.08
Rb: 0.5000 0.0000 0.0000  2 C 3.08
Y: 0.0000 0.0000 0.5000  2 C 2.17
As: 0.5000 0.5000 0.5000  8 Rb 3.77
C: 0.0000 0.0000 0.0000  2 Y 2.17

***

2.
Here is RbY2AsC after structural relaxation from Alexandria via LeMat-Bulk. Energies are from PBE-GGA.

E_form: 0.05 eV per atom
Symmetry: P4/mmm, No. 123
Density of states at the Fermi level: 0.94 states/eV per cell

Cell: 4.8997 4.8997 5.3608 Å, 90.00 90.00 90.00°
Closest atoms and distances in Å follow each position.
Element x y z (fractional)
Rb: 0.0000 0.0000 0.0000  2 C 2.68
Y: 0.0000 0.5000 0.5000  2 C 2.45
Y: 0.5000 0.0000 0.5000  2 C 2.45
As: 0.5000 0.5000 0.0000  4 Rb 3.46, 8 Y 3.63
C: 0.0000 0.0000 0.5000  4 Y 2.45, 2 Rb 2.68

***

3.
Here is Re2AsC2 after structural relaxation from Alexandria via LeMat-Bulk. Energies are from PBE-GGA.

E_form: 1.05 eV per atom
Symmetry: P4/mbm, No. 127
E above lowest polymorph: 252.5 meV/atom
Density of states at the Fermi level: 4.52 states/eV per cell

Cell: 6.5523 6.5523 2.7434 Å, 90.00 90.00 90.00°
Closest atoms and distances in Å follow each position.
Element x y z (fractional)
Re: 0.1433 0.3567 0.0000  4 C 2.24
Re: 0.3567 0.8567 0.0000  4 C 2.24
Re: 0.6433 0.1433 0.0000  4 C 2.24
Re: 0.8567 0.6433 0.0000  4 C 2.24
As: 0.0000 0.0000 0.0000  4 Re 2.52, 2 As 2.74
As: 0.5000 0.5000 0.0000  4 Re 2.52, 2 As 2.74
C: 0.1263 0.6263 0.5000  4 Re 2.24, 1 C 2.34
C: 0.3737 0.1263 0.5000  4 Re 2.24, 1 C 2.34
C: 0.6263 0.8737 0.5000  4 Re 2.24, 1 C 2.34
C: 0.8737 0.3737 0.5000  4 Re 2.24, 1 C 2.34

***

4.
Here is Re2AsC2 after structural relaxation from Alexandria via LeMat-Bulk. Energies are from PBE-GGA.

E_form: 0.80 eV per atom
Symmetry: I4/mmm, No. 139
E above lowest polymorph: 0.0 meV/atom
Density of states at the Fermi level: 1.90 states/eV per cell

Cell: 5.7498 5.7498 5.7498 Å, 145.17 145.17 50.08°
Closest atoms and distances in Å follow each position.
Element x y z (fractional)
Re: 0.1374 0.1374 0.0000  4 C 2.08
Re: 0.8626 0.8626 0.0000  4 C 2.08
As: 0.5000 0.5000 0.0000  8 Re 2.82, 8 C 3.12
C: 0.2500 0.7500 0.5000  4 Re 2.08
C: 0.7500 0.2500 0.5000  4 Re 2.08

***

5.
Here is ReAsC2 after structural relaxation from Alexandria via LeMat-Bulk. Energies are from PBE-GGA.

E_form: 1.01 eV per atom
Symmetry: I-42d, No. 122
Density of states at the Fermi level: 1.72 states/eV per cell

Cell: 5.8204 5.8204 5.8204 Å, 132.11 132.11 70.06°
Closest atoms and distances in Å follow each position.
Element x y z (fractional)
Re: 0.0000 0.0000 0.0000  4 C 2.01
Re: 0.7500 0.2500 0.5000  4 C 2.01
As: 0.2500 0.7500 0.5000  4 C 2.10
As: 0.5000 0.5000 0.0000  4 C 2.10
C: 0.1075 0.6250 0.9825  2 Re 2.01, 2 As 2.10
C: 0.3750 0.3575 0.4825  2 Re 2.01, 2 As 2.10
C: 0.6425 0.1250 0.0175  2 Re 2.01, 2 As 2.10
C: 0.8750 0.8925 0.5175  2 Re 2.01, 2 As 2.10

***

6.
Here is Re3AsC after structural relaxation from Alexandria via LeMat-Bulk. Energies are from PBE-GGA.

E_form: 0.72 eV per atom
Symmetry: Pm-3m, No. 221
E above lowest polymorph: 0.0 meV/atom
Density of states at the Fermi level: 5.59 states/eV per cell

Cell: 4.1244 4.1244 4.1244 Å, 90.00 90.00 90.00°
Closest atoms and distances in Å follow each position.
Element x y z (fractional)
Re: 0.0000 0.0000 0.5000  2 C 2.06
Re: 0.0000 0.5000 0.0000  2 C 2.06
Re: 0.5000 0.0000 0.0000  2 C 2.06
As: 0.5000 0.5000 0.5000  12 Re 2.92
C: 0.0000 0.0000 0.0000  6 Re 2.06

***

7.
Here is Re2SbAsC after structural relaxation from Alexandria via LeMat-Bulk. Energies are from PBE-GGA.

Raw formation energy: 1028 meV per atom
Symmetry: P4/mmm, No. 123
Density of states at the Fermi level: 4.69 states/eV per cell

Cell: 4.2039 4.2039 4.4402 Å, 90.00 90.00 90.00°
Closest atoms and distances in Å follow each position.
Element x y z (fractional)
Re: 0.0000 0.5000 0.0000  2 C 2.10
Re: 0.5000 0.0000 0.0000  2 C 2.10
Sb: 0.0000 0.0000 0.5000  4 As 2.97, 8 Re 3.06
As: 0.5000 0.5000 0.5000  2 C 2.22
C: 0.5000 0.5000 0.0000  4 Re 2.10, 2 As 2.22

***

8.
Here is ReAsCSe2 after structural relaxation from Alexandria via LeMat-Bulk. Energies are from PBE-GGA.

Raw formation energy: 1500 meV per atom
Symmetry: P4/mmm, No. 123
E above lowest polymorph: 0.0 meV/atom
Density of states at the Fermi level: 3.84 states/eV per cell

Cell: 4.2590 4.2590 4.1892 Å, 90.00 90.00 90.00°
Closest atoms and distances in Å follow each position.
Element x y z (fractional)
Re: 0.0000 0.0000 0.0000  8 Se 2.99, 4 As 3.01
As: 0.5000 0.5000 0.0000  2 C 2.09
C: 0.5000 0.5000 0.5000  2 As 2.09, 4 Se 2.13
Se: 0.0000 0.5000 0.5000  2 C 2.13
Se: 0.5000 0.0000 0.5000  2 C 2.13